This record from Alexandria describes a relaxed structure of Mg3ScC. The functional is PBE.

Structure (POSCAR):
```
Mg3ScC
1.0
-2.360 -2.905 2.540
0.548 -3.200 -3.150
3.819 -1.336 2.022
Mg C Sc
3 1 1
Direct
0.000 0.500 0.000
0.000 0.000 0.500
0.500 0.000 0.000
0.000 0.000 0.000
0.500 0.500 0.500
```

Output
As for the density of states at the Fermi level: 3.2 states/eV/cell. As for the energy above the lowest structure with this stoichiometry: 0 meV per atom. The crystal system is cubic. The energy of formation comes out at 378 meV per atom.